Density functional theory data (GGA-PBE) for crystalline SrLaPrLu at its relaxed geometry.

a b c (Å): 8.456 8.456 8.456
angles (deg): 90.00 90.00 90.00
Space group F-43m (No. 216)
One atom of each set of equivalent atoms:
1 Sr 0.000 0.000 0.000 x4
2 La 0.250 0.250 0.250 x4
3 Pr 0.250 0.250 0.750 x4
4 Lu 0.000 0.000 0.500 x4

Its crystal system is cubic. As for the total energy: -3.788 eV per atom.